A relaxed Th2AsSe crystal. Source: Alexandria, functional PBE-GGA.

## Properties
- theoretical density (g/cm³) = 10.507
- DFT total energy (eV per atom) = -7.029
- formation energy without anion corrections (meV/atom) = -1286
- E above lowest polymorph (eV per atom) = 0.2082

Cell: 3.6533 3.6533 7.3170 Å, 90.00 90.00 90.00°
With the nearest neighbours (Å) after each atom.
Space group P4/mmm (No. 123)
Symmetry-distinct sites (fractional):
Th 0.0000 0.0000 0.2433 x2  4 As 3.14, 4 Se 3.19
As 0.5000 0.5000 0.0000 x1  8 Th 3.14
Se 0.5000 0.5000 0.5000 x1  8 Th 3.19

---

A relaxed Th3As5Se12 crystal. Source: Alexandria, functional PBE-GGA.

## Properties
- theoretical density (g/cm³) = 6.015
- DFT total energy (eV per atom) = -4.977
- formation energy without anion corrections (meV/atom) = -611

Cell: 16.4571 16.4571 16.4571 Å, 90.00 90.00 90.00°
With the nearest neighbours (Å) after each atom.
Space group Ia-3d (No. 230)
Symmetry-distinct sites (fractional):
Th 0.0000 0.2500 0.1250 x24  8 Se 3.05-3.11
As 0.0000 0.0000 0.0000 x16  6 Se 2.72
As 0.0000 0.2500 0.3750 x24  4 Se 2.61
Se 0.0184 0.0635 0.6517 x96  2 As 2.61-2.72

---

A relaxed Th2AsSe crystal. Source: Alexandria, functional PBE-GGA.

## Properties
- theoretical density (g/cm³) = 9.584
- DFT total energy (eV per atom) = -7.238
- formation energy without anion corrections (meV/atom) = -1494
- E above lowest polymorph (eV per atom) = 0.0000

Cell: 4.2288 4.2288 20.7406 Å, 90.00 90.00 120.00°
With the nearest neighbours (Å) after each atom.
Space group R-3m (No. 166, hexagonal axes)
Symmetry-distinct sites (fractional):
Th 0.0000 0.0000 0.2483 x6  3 As 2.97, 3 Se 3.01
As 0.0000 0.0000 0.5000 x3  6 Th 2.97
Se 0.0000 0.0000 0.0000 x3  6 Th 3.01